Compound: BaLiSiAu
Source: OQMD
Functional: PBE
Structure: relaxed

Cell: 7.183 7.183 7.183 Å, 90.00 90.00 90.00°
Space group F-43m (No. 216)
One atom of each set of equivalent atoms:
1 Ba 0.000 0.000 0.000 x4
2 Li 0.250 0.250 0.250 x4
3 Si 0.000 0.000 0.500 x4
4 Au 0.250 0.250 0.750 x4

Calculated volume (Å³ per atom): 23.162
Final energy (eV/atom): -3.301